No. 1
CaPm2Al | GGA-PBE | optimized geometry Values from VASP.

Quantum ESPRESSO input file:
```
&SYSTEM
  ibrav = 0, nat = 4, ntyp = 3
/
ATOMIC_SPECIES
Ca 40.08 Ca.upf
Pm 145.00 Pm.upf
Al 26.98 Al.upf
CELL_PARAMETERS angstrom
0.0000 3.8820 3.8820
3.8820 0.0000 3.8820
3.8820 3.8820 0.0000
ATOMIC_POSITIONS angstrom
Ca 0.0000 0.0000 0.0000
Pm 1.9410 1.9410 1.9410
Pm 5.8230 5.8230 5.8230
Al 3.8820 3.8820 3.8820
```

Properties
energy of formation	-0.081	eV/atom
relative energy among the computed polymorphs	0.050	eV/atom
space group	Fm-3m

No. 2
CaPm2Al3Pt4 | GGA-PBE | optimized geometry Values from VASP.

Quantum ESPRESSO input file:
```
&SYSTEM
  ibrav = 0, nat = 10, ntyp = 4
/
ATOMIC_SPECIES
Ca 40.08 Ca.upf
Pm 145.00 Pm.upf
Al 26.98 Al.upf
Pt 195.08 Pt.upf
CELL_PARAMETERS angstrom
4.3276 0.0000 0.0000
0.0000 4.3276 0.0000
0.0000 0.0000 10.9855
ATOMIC_POSITIONS angstrom
Ca 0.0000 0.0000 0.0000
Pm 0.0000 2.1638 8.0185
Pm 2.1638 0.0000 2.9669
Al 0.0000 2.1638 4.2068
Al 2.1638 0.0000 6.7787
Al 2.1638 2.1638 0.0000
Pt 0.0000 0.0000 5.4927
Pt 0.0000 2.1638 1.7285
Pt 2.1638 0.0000 9.2569
Pt 2.1638 2.1638 5.4927
```

Properties
energy of formation	-0.978	eV/atom
space group	P-4m2

No. 3
CaPmAl2Pt2 | GGA-PBE | optimized geometry Values from VASP.

Quantum ESPRESSO input file:
```
&SYSTEM
  ibrav = 0, nat = 6, ntyp = 4
/
ATOMIC_SPECIES
Ca 40.08 Ca.upf
Pm 145.00 Pm.upf
Al 26.98 Al.upf
Pt 195.08 Pt.upf
CELL_PARAMETERS angstrom
4.3905 0.0000 0.0000
-2.1952 3.8023 0.0000
0.0000 0.0000 7.8430
ATOMIC_POSITIONS angstrom
Ca 0.0000 0.0000 0.0000
Pm 0.0000 0.0000 3.9215
Al 0.0000 2.5348 5.8885
Al 2.1952 1.2674 1.9546
Pt 0.0000 2.5348 2.0545
Pt 2.1952 1.2674 5.7886
```

Properties
energy of formation	-0.939	eV/atom
space group	P-3m1

No. 4
CaPmAlPt | GGA-PBE | optimized geometry Values from VASP.

Quantum ESPRESSO input file:
```
&SYSTEM
  ibrav = 0, nat = 4, ntyp = 4
/
ATOMIC_SPECIES
Ca 40.08 Ca.upf
Pm 145.00 Pm.upf
Al 26.98 Al.upf
Pt 195.08 Pt.upf
CELL_PARAMETERS angstrom
0.0000 3.6159 3.6159
3.6159 0.0000 3.6159
3.6159 3.6159 0.0000
ATOMIC_POSITIONS angstrom
Ca 0.0000 0.0000 0.0000
Pm 3.6159 3.6159 3.6159
Al 1.8079 1.8079 1.8079
Pt 5.4238 5.4238 5.4238
```

Properties
energy of formation	-0.591	eV/atom
space group	F-43m

No. 5
CaPmAlRh | GGA-PBE | optimized geometry Values from VASP.

Quantum ESPRESSO input file:
```
&SYSTEM
  ibrav = 0, nat = 4, ntyp = 4
/
ATOMIC_SPECIES
Ca 40.08 Ca.upf
Pm 145.00 Pm.upf
Al 26.98 Al.upf
Rh 102.91 Rh.upf
CELL_PARAMETERS angstrom
0.0000 3.5793 3.5793
3.5793 0.0000 3.5793
3.5793 3.5793 0.0000
ATOMIC_POSITIONS angstrom
Ca 0.0000 0.0000 0.0000
Pm 3.5793 3.5793 3.5793
Al 5.3690 5.3690 5.3690
Rh 1.7897 1.7897 1.7897
```

Properties
energy of formation	-0.358	eV/atom
space group	F-43m

No. 6
CaPmScAl | GGA-PBE | optimized geometry Values from VASP.

Quantum ESPRESSO input file:
```
&SYSTEM
  ibrav = 0, nat = 4, ntyp = 4
/
ATOMIC_SPECIES
Ca 40.08 Ca.upf
Pm 145.00 Pm.upf
Sc 44.96 Sc.upf
Al 26.98 Al.upf
CELL_PARAMETERS angstrom
0.0000 3.7517 3.7517
3.7517 0.0000 3.7517
3.7517 3.7517 0.0000
ATOMIC_POSITIONS angstrom
Ca 0.0000 0.0000 0.0000
Pm 1.8759 1.8759 1.8759
Sc 5.6276 5.6276 5.6276
Al 3.7517 3.7517 3.7517
```

Properties
energy of formation	-0.041	eV/atom
space group	F-43m

No. 7
CaPmAlSi | GGA-PBE | optimized geometry Values from VASP.

Quantum ESPRESSO input file:
```
&SYSTEM
  ibrav = 0, nat = 4, ntyp = 4
/
ATOMIC_SPECIES
Ca 40.08 Ca.upf
Pm 145.00 Pm.upf
Al 26.98 Al.upf
Si 28.09 Si.upf
CELL_PARAMETERS angstrom
0.0000 3.6349 3.6349
3.6349 0.0000 3.6349
3.6349 3.6349 0.0000
ATOMIC_POSITIONS angstrom
Ca 0.0000 0.0000 0.0000
Pm 3.6349 3.6349 3.6349
Al 1.8175 1.8175 1.8175
Si 5.4524 5.4524 5.4524
```

Properties
space group	F-43m
E	-4.25	eV per atom

No. 8
CaPmSmAl | GGA-PBE | optimized geometry Values from VASP.

Quantum ESPRESSO input file:
```
&SYSTEM
  ibrav = 0, nat = 4, ntyp = 4
/
ATOMIC_SPECIES
Ca 40.08 Ca.upf
Pm 145.00 Pm.upf
Sm 150.36 Sm.upf
Al 26.98 Al.upf
CELL_PARAMETERS angstrom
0.0000 3.8745 3.8745
3.8745 0.0000 3.8745
3.8745 3.8745 0.0000
ATOMIC_POSITIONS angstrom
Ca 0.0000 0.0000 0.0000
Pm 1.9373 1.9373 1.9373
Sm 5.8118 5.8118 5.8118
Al 3.8745 3.8745 3.8745
```

Properties
energy of formation	-0.077	eV/atom
space group	F-43m

No. 9
CaPmAlSn | GGA-PBE | optimized geometry Values from VASP.

Quantum ESPRESSO input file:
```
&SYSTEM
  ibrav = 0, nat = 4, ntyp = 4
/
ATOMIC_SPECIES
Ca 40.08 Ca.upf
Pm 145.00 Pm.upf
Al 26.98 Al.upf
Sn 118.71 Sn.upf
CELL_PARAMETERS angstrom
0.0000 3.7779 3.7779
3.7779 0.0000 3.7779
3.7779 3.7779 0.0000
ATOMIC_POSITIONS angstrom
Ca 0.0000 0.0000 0.0000
Pm 3.7779 3.7779 3.7779
Al 1.8889 1.8889 1.8889
Sn 5.6668 5.6668 5.6668
```

Properties
energy of formation	-0.416	eV/atom
space group	F-43m

No. 10
SrCaPmAl | GGA-PBE | optimized geometry Values from VASP.

Quantum ESPRESSO input file:
```
&SYSTEM
  ibrav = 0, nat = 4, ntyp = 4
/
ATOMIC_SPECIES
Sr 87.62 Sr.upf
Ca 40.08 Ca.upf
Pm 145.00 Pm.upf
Al 26.98 Al.upf
CELL_PARAMETERS angstrom
0.0000 4.0148 4.0148
4.0148 0.0000 4.0148
4.0148 4.0148 0.0000
ATOMIC_POSITIONS angstrom
Sr 0.0000 0.0000 0.0000
Ca 2.0074 2.0074 2.0074
Pm 4.0148 4.0148 4.0148
Al 6.0222 6.0222 6.0222
```

Properties
energy of formation	0.015	eV/atom
space group	F-43m

No. 11
CaTbPmAl | GGA-PBE | optimized geometry Values from VASP.

Quantum ESPRESSO input file:
```
&SYSTEM
  ibrav = 0, nat = 4, ntyp = 4
/
ATOMIC_SPECIES
Ca 40.08 Ca.upf
Tb 158.93 Tb.upf
Pm 145.00 Pm.upf
Al 26.98 Al.upf
CELL_PARAMETERS angstrom
0.0000 3.8510 3.8510
3.8510 0.0000 3.8510
3.8510 3.8510 0.0000
ATOMIC_POSITIONS angstrom
Ca 0.0000 0.0000 0.0000
Tb 1.9255 1.9255 1.9255
Pm 5.7766 5.7766 5.7766
Al 3.8510 3.8510 3.8510
```

Properties
energy of formation	-0.067	eV/atom
space group	F-43m

No. 12
CaPmAlTl | GGA-PBE | optimized geometry Values from VASP.

Quantum ESPRESSO input file:
```
&SYSTEM
  ibrav = 0, nat = 4, ntyp = 4
/
ATOMIC_SPECIES
Ca 40.08 Ca.upf
Pm 145.00 Pm.upf
Al 26.98 Al.upf
Tl 204.38 Tl.upf
CELL_PARAMETERS angstrom
0.0000 3.8008 3.8008
3.8008 0.0000 3.8008
3.8008 3.8008 0.0000
ATOMIC_POSITIONS angstrom
Ca 0.0000 0.0000 0.0000
Pm 3.8008 3.8008 3.8008
Al 5.7012 5.7012 5.7012
Tl 1.9004 1.9004 1.9004
```

Properties
energy of formation	-0.309	eV/atom
space group	F-43m